The following is a DFT calculation (GGA+U) of Y2Mn3O9 after structural relaxation.

electronic total energy: -429.04 eV/cell
density of states at the Fermi level: 21.65 states/eV per cell

Lattice parameters (Å, degrees): 3.9252 14.1204 12.2405 90.00 90.00 90.00
Closest atoms and distances in Å follow each position.
Space group Cmc2_1 (No. 36)
Unique sites:
Y: 0.0000 0.0211 0.0000 x4  7 O 2.26-2.39
Y: 0.0000 0.2946 0.9754 x4  6 O 2.24-2.48
Mn: 0.0000 0.1561 0.7162 x4  4 O 1.84-2.00
Mn: 0.0000 0.1861 0.2316 x4  6 O 1.87-1.97
Mn: 0.0000 0.4611 0.7583 x4  4 O 1.83-1.97
O: 0.0000 0.0488 0.2584 x4  3 Mn 1.97
O: 0.0000 0.1349 0.5638 x4  1 Mn 1.89
O: 0.0000 0.1425 0.8661 x4  1 Mn 1.84
O: 0.0000 0.1652 0.0810 x4  1 Mn 1.87
O: 0.0000 0.2158 0.3821 x4  1 Mn 1.89
O: 0.0000 0.3164 0.7451 x4  3 Mn 1.97-2.05
O: 0.0000 0.3209 0.2018 x4  3 Mn 1.94-2.00
O: 0.0000 0.4616 0.9121 x4  1 Mn 1.88
O: 0.0000 0.4853 0.6118 x4  1 Mn 1.83